No. 1
Tm3SeS2 | PBE | relaxed

Structure (POSCAR):
```
Tm3SeS2
1.0
-1.0289 2.2841 2.9983
-2.9498 -4.1308 2.1346
6.6856 -0.8854 0.4231
S Tm Se
2 3 1
Direct
0.8369 0.8369 0.1738 S
0.1631 0.1631 0.8262 S
0.8212 0.3212 0.1424 Tm
0.5000 0.0000 0.5000 Tm
0.1788 0.6788 0.8576 Tm
0.5000 0.5000 0.5000 Se
```

Computed properties:
Energy above the lowest structure with this stoichiometry   0.0 kJ per mole of atoms
SG   Immm

=====

No. 2
Tm3SeS2 | PBE | relaxed

Structure (POSCAR):
```
Tm3SeS2
1.0
-0.5958 -3.1480 2.2549
0.2810 -2.2637 -6.4896
10.6280 -1.3457 0.9296
Se S Tm
2 4 6
Direct
0.7528 0.5056 0.7500 Se
0.2472 0.4944 0.2500 Se
0.4696 0.9391 0.7500 S
0.0000 0.0000 0.5000 S
0.0000 0.0000 0.0000 S
0.5304 0.0609 0.2500 S
0.9035 0.8071 0.2500 Tm
0.6452 0.2904 0.0555 Tm
0.3548 0.7096 0.9445 Tm
0.6452 0.2904 0.4445 Tm
0.3548 0.7096 0.5555 Tm
0.0965 0.1929 0.7500 Tm
```

Computed properties:
Energy above the lowest structure with this stoichiometry   29.2 kJ per mole of atoms
SG   Cmcm

=====

No. 3
Tm5Se4S | PBE | relaxed

Structure (POSCAR):
```
Tm5Se4S
1.0
3.9152 0.0000 -0.5518
-0.0778 3.9144 -0.5518
0.0626 0.0638 14.6103
Tm Se S
5 4 1
Direct
0.2925 0.2925 0.5850 Tm
0.5000 0.5000 0.0000 Tm
0.7075 0.7075 0.4150 Tm
0.9087 0.9087 0.8175 Tm
0.0913 0.0913 0.1825 Tm
0.1934 0.1934 0.3867 Se
0.6018 0.6018 0.2037 Se
0.3982 0.3982 0.7963 Se
0.8066 0.8066 0.6133 Se
0.0000 0.0000 0.0000 S
```

Computed properties:
Energy above the lowest structure with this stoichiometry   0.4 kJ per mole of atoms
SG   I4/mmm

=====

No. 4
Tm2SeS2 | PBE | relaxed

Structure (POSCAR):
```
Tm2SeS2
1.0
6.8285 0.4943 0.4517
-0.9349 6.7822 0.4517
-2.2708 -2.8037 4.9832
Se Tm S
2 4 4
Direct
0.1288 0.8712 0.2500 Se
0.8712 0.1288 0.7500 Se
0.1626 0.8374 0.7500 Tm
0.5957 0.4043 0.7500 Tm
0.8374 0.1626 0.2500 Tm
0.4043 0.5957 0.2500 Tm
0.4393 0.2180 0.9797 S
0.7820 0.5607 0.5203 S
0.5607 0.7820 0.0203 S
0.2180 0.4393 0.4797 S
```

Computed properties:
Energy above the lowest structure with this stoichiometry   18.7 kJ per mole of atoms
SG   C2/c

=====

No. 5
Tm4Se2S | PBE | relaxed

Structure (POSCAR):
```
Tm4Se2S
1.0
-1.4110 0.6780 3.5829
-3.0369 -6.0536 -0.0505
6.2332 -0.6283 2.5736
Tm Se S
4 2 1
Direct
0.0000 0.2448 0.7552 Tm
0.5000 0.7513 0.7513 Tm
0.5000 0.2487 0.2487 Tm
0.0000 0.7552 0.2448 Tm
0.5000 0.0000 0.5000 Se
0.5000 0.5000 0.0000 Se
0.0000 0.0000 0.0000 S
```

Computed properties:
SG   Cmmm

=====

No. 6
Tm6Se2S3 | PBE | relaxed

Structure (POSCAR):
```
Tm6Se2S3
1.0
0.0264 -1.2996 3.6143
-2.0640 -3.0994 0.9416
14.4218 -12.7933 -2.6645
Tm S Se
6 3 2
Direct
0.9194 0.9194 0.2419 Tm
0.6393 0.6393 0.0821 Tm
0.8103 0.8103 0.5691 Tm
0.3607 0.3607 0.9179 Tm
0.1897 0.1897 0.4309 Tm
0.0806 0.0806 0.7581 Tm
0.0000 0.0000 0.0000 S
0.7208 0.7208 0.8376 S
0.2792 0.2792 0.1624 S
0.4444 0.4444 0.6669 Se
0.5556 0.5556 0.3331 Se
```

Computed properties:
SG   R-3m

=====

No. 7
TmSeS | PBE | relaxed

Structure (POSCAR):
```
TmSeS
1.0
3.5977 0.0000 0.0000
0.0000 3.5977 0.0000
-1.7988 -1.7988 4.9006
Tm S Se
1 1 1
Direct
0.6494 0.6494 0.2988 Tm
0.0343 0.0343 0.0687 S
0.3163 0.3163 0.6325 Se
```

Computed properties:
Energy above the lowest structure with this stoichiometry   34.9 kJ per mole of atoms
SG   I4mm

=====

No. 8
Tm4Se3S | PBE | relaxed

Structure (POSCAR):
```
Tm4Se3S
1.0
-2.7903 -4.8708 0.3381
4.3178 -2.2798 2.7900
-2.2795 1.6439 4.8710
Tm S Se
4 1 3
Direct
0.5000 0.5000 0.5000 Tm
0.5000 0.0000 0.0000 Tm
0.0000 0.5000 0.0000 Tm
0.0000 0.0000 0.5000 Tm
0.0000 0.0000 0.0000 S
0.0000 0.5000 0.5000 Se
0.5000 0.5000 0.0000 Se
0.5000 0.0000 0.5000 Se
```

Computed properties:
Energy above the lowest structure with this stoichiometry   3.8 kJ per mole of atoms
SG   Pm-3m

=====

no.,E (eV for the cell shown),formation energy (no corrections) (eV/atom),total magnetization (μB per formula unit)
1,-36.12,-1.8277,0.0
2,-68.61,-1.5248,0.0
3,-57.48,-1.7057,0.0
4,-59.60,-1.8238,0.0
5,-39.11,-1.4471,0.0
6,-64.45,-1.6611,0.6
7,-15.94,-1.2842,0.0
8,-46.02,-1.6936,0.0